Entry 1:
DyCdTeO6 PBE-GGA optimized geometry; DOS(E_F) = 9.61 states/eV/cell; formation energy without anion corrections = -14.6 eV/f.u.
1.0
-1.557 3.084 -3.672
2.966 -2.415 -3.285
-7.513 -6.330 -2.131
Cd O Dy Te
2 12 2 2
direct
0.000 0.000 0.999
0.500 0.500 0.499
0.820 0.180 0.479
0.680 0.680 0.979
0.686 0.686 0.692
0.773 0.227 0.827
0.814 0.186 0.192
0.314 0.314 0.692
0.180 0.820 0.479
0.186 0.814 0.192
0.273 0.273 0.327
0.227 0.773 0.827
0.727 0.727 0.327
0.320 0.320 0.979
0.000 0.000 0.669
0.500 0.500 0.169
0.500 0.500 0.834
0.000 0.000 0.334

***

Entry 2:
BaZrTe2 PBE-GGA optimized geometry; DOS(E_F) = 2.77 states/eV/cell; offset from the most stable computed form = 0 meV per atom; formation energy without anion corrections = -4.4 eV/f.u.
1.0
4.423 -0.014 0.010
2.224 3.824 0.010
2.196 1.258 7.701
Ba Zr Te
1 1 2
direct
0.250 0.250 0.250
0.750 0.750 0.750
0.485 0.485 0.545
0.015 0.015 0.955

***

Entry 3:
NaY2Al PBE-GGA optimized geometry; DOS(E_F) = 2.60 states/eV/cell
1.0
-3.026 -1.125 -1.419
0.578 -3.219 1.318
-4.487 2.351 7.707
Y Al Na
2 1 1
direct
0.000 0.000 0.800
0.000 0.000 0.200
0.500 0.500 0.000
0.500 0.500 0.500

***

no.,energy (eV per atom),M_tot (μB per formula unit)
1,-5.89,1.057
2,-5.28,0.000
3,-4.59,0.000